[1]
Entry from Alexandria via LeMat-Bulk: Ag2SbOs after structural relaxation (PBE).

Summary:
Space group: No. 216
Energy relative to the elements, uncorrected: 52.4 kJ/mol of atoms

The structure in extended XYZ format:
```
4
Lattice="4.653 0.000 0.000 2.327 4.030 0.000 2.327 1.343 3.799" Properties=species:S:1:pos:R:3 pbc="T T T"
Sb 6.980 4.030 2.849
Os 4.653 2.687 1.900
Ag 0.000 0.000 0.000
Ag 2.327 1.343 0.950
```

***

[2]
Entry from Alexandria via LeMat-Bulk: Ag2SbOs after structural relaxation (PBE).

Summary:
Space group: No. 10
Energy relative to the elements, uncorrected: 57.4 kJ/mol of atoms

The structure in extended XYZ format:
```
4
Lattice="-1.544 4.163 2.862 -1.762 0.948 -2.330 -3.540 -2.412 1.599" Properties=species:S:1:pos:R:3 pbc="T T T"
Sb -4.748 0.983 0.883
Os -2.097 1.715 1.248
Ag -1.777 0.935 -2.319
Ag -2.636 -0.719 -0.376
```

***

[3]
Entry from Alexandria via LeMat-Bulk: Ag2SbOs after structural relaxation (PBE).

Summary:
Space group: No. 160
Energy relative to the elements, uncorrected: 45.8 kJ/mol of atoms

The structure in extended XYZ format:
```
4
Lattice="9.340 -0.005 -0.003 8.830 3.043 -0.003 8.830 1.477 2.661" Properties=species:S:1:pos:R:3 pbc="T T T"
Sb 20.512 3.430 2.017
Os 13.450 2.249 1.323
Ag 26.884 4.496 2.644
Ag 6.655 1.113 0.655
```

***

[4]
Entry from Alexandria via LeMat-Bulk: Ag3SbOs after structural relaxation (PBE).

Summary:
Space group: No. 221
Energy relative to the elements, uncorrected: 139.8 kJ/mol of atoms

The structure in extended XYZ format:
```
5
Lattice="-4.274 2.645 0.013 -0.167 -0.295 5.015 2.639 4.264 0.339" Properties=species:S:1:pos:R:3 pbc="T T T"
Sb -0.901 3.307 2.683
Os 0.000 0.000 0.000
Ag -0.084 -0.147 2.508
Ag 1.320 2.132 0.169
Ag -2.137 1.322 0.006
```

***

[5]
Entry from Alexandria via LeMat-Bulk: Ag2SbOs after structural relaxation (PBE).

Summary:
Space group: No. 65
Energy relative to the elements, uncorrected: 68.7 kJ/mol of atoms

The structure in extended XYZ format:
```
4
Lattice="-0.327 -1.499 2.517 1.777 -1.043 -2.108 7.779 5.085 4.041" Properties=species:S:1:pos:R:3 pbc="T T T"
Sb 6.559 2.543 3.235
Os 2.670 0.000 1.214
Ag 0.129 0.084 0.067
Ag 3.760 2.458 1.953
```

***

[6]
Entry from Alexandria via LeMat-Bulk: Ag2SbOs after structural relaxation (PBE).

Summary:
Space group: No. 166
Energy relative to the elements, uncorrected: 69.1 kJ/mol of atoms

The structure in extended XYZ format:
```
4
Lattice="9.967 -0.007 -0.004 9.528 2.925 -0.004 9.528 1.426 2.553" Properties=species:S:1:pos:R:3 pbc="T T T"
Sb 21.767 3.257 1.909
Os 7.256 1.086 0.636
Ag 28.857 4.319 2.531
Ag 14.676 2.196 1.287
```

***

[7]
Entry from Alexandria via LeMat-Bulk: Ag2SbOs after structural relaxation (PBE).

Summary:
Space group: No. 12
Energy relative to the elements, uncorrected: 51.4 kJ/mol of atoms

The structure in extended XYZ format:
```
4
Lattice="5.753 0.018 0.181 4.864 3.072 0.181 1.487 0.433 4.192" Properties=species:S:1:pos:R:3 pbc="T T T"
Sb 3.026 0.881 1.138
Os 9.078 2.643 3.415
Ag 1.576 0.459 4.155
Ag 5.963 1.736 2.314
```

***

[8]
Entry from Alexandria via LeMat-Bulk: Ag2SbOs after structural relaxation (PBE).

Summary:
Space group: No. 35
Energy relative to the elements, uncorrected: 57.7 kJ/mol of atoms

The structure in extended XYZ format:
```
4
Lattice="-1.712 0.672 -2.309 2.020 -2.112 -0.412 -6.608 -6.883 2.896" Properties=species:S:1:pos:R:3 pbc="T T T"
Sb -4.585 -5.658 0.717
Os -3.299 -3.437 1.446
Ag -0.144 -0.150 0.063
Ag -1.575 -2.522 -0.602
```

***

[9]
Entry from Alexandria via LeMat-Bulk: Ag2SbOs after structural relaxation (PBE).

Summary:
Space group: No. 65
Energy relative to the elements, uncorrected: 62.6 kJ/mol of atoms

The structure in extended XYZ format:
```
4
Lattice="5.185 0.017 0.000 -2.404 4.594 0.000 0.000 0.000 3.069" Properties=species:S:1:pos:R:3 pbc="T T T"
Sb -1.202 2.297 1.535
Os 2.592 0.008 1.535
Ag 0.000 0.000 0.000
Ag 1.390 2.305 0.000
```

***

[10]
Entry from Alexandria via LeMat-Bulk: Ag2SbOs after structural relaxation (PBE).

Summary:
Space group: No. 8
Energy relative to the elements, uncorrected: 46.5 kJ/mol of atoms

The structure in extended XYZ format:
```
4
Lattice="5.089 0.017 0.062 4.075 3.049 0.062 1.933 0.647 4.832" Properties=species:S:1:pos:R:3 pbc="T T T"
Sb 2.754 0.921 1.733
Os 5.359 1.793 1.990
Ag 1.888 0.632 4.514
Ag 8.578 2.870 4.030
```

***

[11]
Entry from Alexandria via LeMat-Bulk: Ag2SbOs after structural relaxation (PBE).

Summary:
Space group: No. 123
Energy relative to the elements, uncorrected: 68.5 kJ/mol of atoms

The structure in extended XYZ format:
```
4
Lattice="2.922 0.000 0.000 0.000 2.922 0.000 0.000 0.000 9.011" Properties=species:S:1:pos:R:3 pbc="T T T"
Sb 1.461 1.461 6.758
Os 1.461 1.461 2.253
Ag 0.000 0.000 0.256
Ag 0.000 0.000 4.250
```

***

[12]
Entry from Alexandria via LeMat-Bulk: Ag2SbOs after structural relaxation (PBE).

Summary:
Space group: No. 139
Energy relative to the elements, uncorrected: 57.6 kJ/mol of atoms

The structure in extended XYZ format:
```
4
Lattice="-1.580 -2.455 4.674 3.784 -2.001 3.471 -1.014 4.656 -2.768" Properties=species:S:1:pos:R:3 pbc="T T T"
Sb -0.746 -0.013 2.989
Os 1.936 0.214 2.388
Ag 0.000 0.000 0.000
Ag 1.102 -2.228 4.072
```

***

[13]
Entry from Alexandria via LeMat-Bulk: AgSbOs2W after structural relaxation (PBE).

Summary:
Space group: No. 123
Energy relative to the elements, uncorrected: 177.6 kJ/mol of atoms

The structure in extended XYZ format:
```
5
Lattice="4.783 0.000 0.000 0.000 5.129 0.000 0.000 0.000 4.783" Properties=species:S:1:pos:R:3 pbc="T T T"
Sb 0.000 2.564 0.000
Os 0.000 0.000 2.391
Os 2.391 0.000 0.000
Ag 2.391 2.564 2.391
W 0.000 0.000 0.000
```

***

[14]
Entry from Alexandria via LeMat-Bulk: ScAg2Os after structural relaxation (PBE).

Summary:
Space group: No. 119
DFT formation energy: 187 meV per atom
Distance to the lowest polymorph of the same formula: 34 kJ/mol of formula units

The structure in extended XYZ format:
```
4
Lattice="-4.745 1.396 0.630 -1.754 -2.254 4.087 4.129 2.696 -0.734" Properties=species:S:1:pos:R:3 pbc="T T T"
Ag -6.498 -0.858 4.717
Ag -1.932 1.832 1.127
Os -3.249 -0.429 2.358
Sc -0.438 0.007 2.856
```

***

[15]
Entry from Alexandria via LeMat-Bulk: ScAg2Os after structural relaxation (PBE).

Summary:
Space group: No. 35
DFT formation energy: 158 meV per atom
Distance to the lowest polymorph of the same formula: 23 kJ/mol of formula units

The structure in extended XYZ format:
```
4
Lattice="2.858 -0.002 0.000 -1.021 2.669 0.000 0.000 0.000 9.234" Properties=species:S:1:pos:R:3 pbc="T T T"
Ag 0.000 0.000 9.220
Ag 0.918 1.334 2.376
Os 0.000 0.000 4.742
Sc 0.918 1.334 6.747
```

***

[16]
Entry from Alexandria via LeMat-Bulk: ScAg2Os after structural relaxation (PBE).

Summary:
Space group: No. 216
DFT formation energy: 256 meV per atom
Distance to the lowest polymorph of the same formula: 60 kJ/mol of formula units

The structure in extended XYZ format:
```
4
Lattice="4.627 0.000 0.000 2.313 4.007 0.000 2.313 1.336 3.778" Properties=species:S:1:pos:R:3 pbc="T T T"
Ag 0.000 0.000 0.000
Ag 6.940 4.007 2.833
Os 4.627 2.671 1.889
Sc 2.313 1.336 0.944
```

***

[17]
Entry from Alexandria via LeMat-Bulk: ScAg4Os after structural relaxation (PBE).

Summary:
Space group: No. 216
DFT formation energy: 407 meV per atom

The structure in extended XYZ format:
```
6
Lattice="-2.983 -4.348 -0.926 -2.949 -2.111 3.938 -5.337 0.396 -0.144" Properties=species:S:1:pos:R:3 pbc="T T T"
Sc 0.000 0.000 0.000
Ag -5.717 -4.445 0.614
Ag -6.892 -2.077 1.004
Ag -5.700 -3.329 3.042
Ag -4.228 -2.275 1.076
Os -8.451 -4.547 2.151
```

***

[18]
Entry from Alexandria via LeMat-Bulk: ScAgOs after structural relaxation (PBE).

Summary:
Space group: No. 42
DFT formation energy: 163 meV per atom
Distance to the lowest polymorph of the same formula: 6 kJ/mol of formula units

The structure in extended XYZ format:
```
3
Lattice="-2.478 2.698 6.229 0.047 1.520 6.859 0.253 2.834 -0.243" Properties=species:S:1:pos:R:3 pbc="T T T"
Ag -2.427 4.216 13.066
Os -0.616 3.282 4.073
Sc -1.567 3.772 8.794
```

***

[19]
Entry from Alexandria via LeMat-Bulk: Sc8AgOs2 after structural relaxation (PBE).

Summary:
Space group: No. 44
DFT formation energy: -284 meV per atom

The structure in extended XYZ format:
```
11
Lattice="4.625 0.056 -1.384 -0.838 5.913 -2.559 -0.022 0.041 8.351" Properties=species:S:1:pos:R:3 pbc="T T T"
Sc 2.701 1.631 6.038
Sc 4.467 0.204 3.455
Sc 1.091 2.090 0.669
Sc 2.674 5.622 -2.317
Sc 0.867 5.082 0.045
Sc 3.918 2.667 1.717
Sc 0.149 3.282 6.002
Sc 1.803 4.292 3.142
Ag -0.201 5.763 4.928
Os 3.203 3.717 -0.627
Os 1.913 1.707 3.398
```

***

[20]
Entry from Alexandria via LeMat-Bulk: ScAg2Os4 after structural relaxation (PBE).

Summary:
Space group: No. 139
DFT formation energy: 2309 meV per atom

The structure in extended XYZ format:
```
7
Lattice="-1.273 -1.297 4.240 1.135 -4.360 -0.993 6.087 -1.725 3.809" Properties=species:S:1:pos:R:3 pbc="T T T"
Sc 0.000 0.000 0.000
Os 2.130 -5.251 4.052
Os 3.819 -2.131 3.004
Os 0.567 -2.180 -0.497
Os -0.636 -0.649 2.120
Ag 4.557 -4.815 4.913
Ag 1.392 -2.567 2.142
```